Entry one
This record from the Alexandria database describes a relaxed Mn3TlF crystal. The functional is GGA+U.

Lattice parameters (Å, degrees): 5.3446 5.3446 5.3446 90.00 90.00 90.00
Closest atoms and distances in Å follow each position.
Fractional positions:
1 Mn 0.0000 0.0000 0.5000  2 Tl 2.67
2 Mn 0.0000 0.5000 0.0000  2 Tl 2.67
3 Mn 0.5000 0.0000 0.0000  2 Tl 2.67
4 Tl 0.0000 0.0000 0.0000  6 Mn 2.67
5 F 0.5000 0.5000 0.5000  12 Mn 3.78

M_tot = 2.996 μB per atom
DOS at the Fermi energy = 0.19 states/eV per cell

Entry two
This record from the Alexandria database describes a relaxed Mn3TlF crystal. The functional is GGA+U.

Lattice parameters (Å, degrees): 4.6182 4.6182 4.6182 90.00 90.00 90.00
Closest atoms and distances in Å follow each position.
Fractional positions:
1 Mn 0.0000 0.0000 0.5000  2 F 2.31
2 Mn 0.0000 0.5000 0.0000  2 F 2.31
3 Mn 0.5000 0.0000 0.0000  2 F 2.31
4 Tl 0.5000 0.5000 0.5000  12 Mn 3.27
5 F 0.0000 0.0000 0.0000  6 Mn 2.31

M_tot = 2.903 μB per atom
DOS at the Fermi energy = 2.14 states/eV per cell

So which one wins? Going from most stable to least: entry two, entry one.

Entry one
This record from the Alexandria database describes a relaxed Mn2Tl2F7 crystal. The functional is GGA+U.

Lattice parameters (Å, degrees): 6.3985 6.3985 6.7755 95.71 95.71 118.35
Closest atoms and distances in Å follow each position.
Fractional positions:
1 Mn 0.2449 0.2449 0.1112  5 F 1.96-2.09
2 Mn 0.7551 0.7551 0.8888  5 F 1.96-2.09
3 Tl 0.1816 0.8184 0.5000  4 F 2.59-2.82
4 Tl 0.8184 0.1816 0.5000  4 F 2.59-2.82
5 F 0.0494 0.0494 0.8285  2 Mn 2.05-2.09
6 F 0.1577 0.4592 0.2657  1 Mn 1.96
7 F 0.4592 0.1577 0.2657  1 Mn 1.96
8 F 0.5000 0.5000 0.0000  2 Mn 1.96
9 F 0.5408 0.8423 0.7343  1 Mn 1.96
10 F 0.8423 0.5408 0.7343  1 Mn 1.96
11 F 0.9506 0.9506 0.1715  2 Mn 2.05-2.09

M_tot = 0.818 μB per atom
DOS at the Fermi energy = 0.39 states/eV per cell

Entry two
This record from the Alexandria database describes a relaxed Mn2Tl2F7 crystal. The functional is GGA+U.

Lattice parameters (Å, degrees): 7.6707 7.6707 3.9399 90.00 90.00 117.06
Closest atoms and distances in Å follow each position.
Fractional positions:
1 Mn 0.2453 0.2453 0.0000  5 F 1.94-2.04
2 Mn 0.7547 0.7547 0.0000  5 F 1.94-2.04
3 Tl 0.2371 0.7629 0.5000  4 F 2.78
4 Tl 0.7629 0.2371 0.5000  4 F 2.78
5 F 0.0479 0.3377 0.0000  1 Mn 1.94
6 F 0.2144 0.2144 0.5000  2 Mn 1.99
7 F 0.3377 0.0479 0.0000  1 Mn 1.94
8 F 0.5000 0.5000 0.0000  2 Mn 2.04
9 F 0.6623 0.9521 0.0000  1 Mn 1.94
10 F 0.7856 0.7856 0.5000  2 Mn 1.99
11 F 0.9521 0.6623 0.0000  1 Mn 1.94

M_tot = 0.818 μB per atom
DOS at the Fermi energy = 1.25 states/eV per cell

So which one wins? Going from most stable to least: entry two, entry one.

Entry one
This record from the Alexandria database describes a relaxed Mn2TlF crystal. The functional is GGA+U.

Lattice parameters (Å, degrees): 4.7776 4.7776 4.7776 60.00 60.00 60.00
Closest atoms and distances in Å follow each position.
Fractional positions:
1 Mn 0.2500 0.2500 0.2500  4 Tl 2.93, 4 F 2.93
2 Mn 0.7500 0.7500 0.7500  4 F 2.93, 4 Tl 2.93
3 Tl 0.0000 0.0000 0.0000  8 Mn 2.93
4 F 0.5000 0.5000 0.5000  8 Mn 2.93

M_tot = 2.191 μB per atom
DOS at the Fermi energy = 2.85 states/eV per cell

Entry two
This record from the Alexandria database describes a relaxed Mn2TlF crystal. The functional is GGA+U.

Lattice parameters (Å, degrees): 5.9695 5.9695 5.9695 109.52 109.52 109.38
Closest atoms and distances in Å follow each position.
Fractional positions:
1 Mn 0.0420 0.6250 0.9170  2 F 2.24
2 Mn 0.3750 0.2920 0.4170  2 F 2.24
3 Mn 0.7080 0.1250 0.0830  2 F 2.24
4 Mn 0.8750 0.9580 0.5830  2 F 2.24
5 Tl 0.2500 0.7500 0.5000  8 Mn 3.00-3.31
6 Tl 0.5000 0.5000 0.0000  8 Mn 3.00-3.31
7 F 0.0000 0.0000 0.0000  4 Mn 2.24
8 F 0.7500 0.2500 0.5000  4 Mn 2.24

M_tot = 2.414 μB per atom
DOS at the Fermi energy = 4.43 states/eV per cell

So which one wins? Going from most stable to least: entry two, entry one.

Entry one
This record from the Alexandria database describes a relaxed MnTl2F crystal. The functional is GGA+U.

Lattice parameters (Å, degrees): 6.4970 6.4970 6.4970 102.65 102.65 124.19
Closest atoms and distances in Å follow each position.
Fractional positions:
1 Mn 0.0000 0.0000 0.0000  2 F 3.04, 8 Tl 3.36-3.40
2 Mn 0.7500 0.2500 0.5000  2 F 3.04, 8 Tl 3.36-3.40
3 Tl 0.1907 0.6250 0.0657  2 F 2.63
4 Tl 0.3750 0.4407 0.5657  2 F 2.63
5 Tl 0.5593 0.1250 0.9343  2 F 2.63
6 Tl 0.8750 0.8093 0.4343  2 F 2.63
7 F 0.2500 0.7500 0.5000  4 Tl 2.63
8 F 0.5000 0.5000 0.0000  4 Tl 2.63

M_tot = 1.256 μB per atom
DOS at the Fermi energy = 4.08 states/eV per cell

Entry two
This record from the Alexandria database describes a relaxed MnTl2F crystal. The functional is GGA+U.

Lattice parameters (Å, degrees): 5.0372 5.0372 5.0372 60.00 60.00 60.00
Closest atoms and distances in Å follow each position.
Fractional positions:
1 Mn 0.0000 0.0000 0.0000  8 Tl 3.08
2 Tl 0.2500 0.2500 0.2500  4 F 3.08, 4 Mn 3.08
3 Tl 0.7500 0.7500 0.7500  4 F 3.08, 4 Mn 3.08
4 F 0.5000 0.5000 0.5000  8 Tl 3.08

M_tot = 1.134 μB per atom
DOS at the Fermi energy = 2.29 states/eV per cell

So which one wins? Going from most stable to least: entry one, entry two.

Entry one
This record from the Alexandria database describes a relaxed MnTlF2 crystal. The functional is GGA+U.

Lattice parameters (Å, degrees): 8.5884 8.5884 8.5884 22.71 22.71 22.71
Closest atoms and distances in Å follow each position.
Fractional positions:
1 Mn 0.0000 0.0000 0.0000  6 F 2.18
2 Tl 0.5000 0.5000 0.5000  2 F 3.21, 6 Tl 3.38
3 F 0.3719 0.3719 0.3719  3 Mn 2.18
4 F 0.6281 0.6281 0.6281  3 Mn 2.18

M_tot = 1.251 μB per atom
DOS at the Fermi energy = 1.02 states/eV per cell

Entry two
This record from the Alexandria database describes a relaxed MnTlF2 crystal. The functional is GGA+U.

Lattice parameters (Å, degrees): 4.6394 4.6394 4.6394 60.00 60.00 60.00
Closest atoms and distances in Å follow each position.
Fractional positions:
1 Mn 0.0000 0.0000 0.0000  8 F 2.84
2 Tl 0.5000 0.5000 0.5000  8 F 2.84
3 F 0.2500 0.2500 0.2500  4 Tl 2.84, 4 Mn 2.84
4 F 0.7500 0.7500 0.7500  4 Tl 2.84, 4 Mn 2.84

M_tot = 1.488 μB per atom
DOS at the Fermi energy = 0.43 states/eV per cell

Entry three
This record from the Alexandria database describes a relaxed MnTlF2 crystal. The functional is GGA+U.

Lattice parameters (Å, degrees): 6.6701 6.6701 6.6701 127.68 127.68 77.14
Closest atoms and distances in Å follow each position.
Fractional positions:
1 Mn 0.0000 0.0000 0.0000  4 F 2.04
2 Mn 0.7500 0.2500 0.5000  4 F 2.04
3 Tl 0.2500 0.7500 0.5000  4 F 3.10
4 Tl 0.5000 0.5000 0.0000  4 F 3.10
5 F 0.3750 0.2180 0.3430  2 Mn 2.04
6 F 0.7820 0.1250 0.1570  2 Mn 2.04
7 F 0.8750 0.0320 0.6570  2 Mn 2.04
8 F 0.9680 0.6250 0.8430  2 Mn 2.04

M_tot = 1.213 μB per atom
DOS at the Fermi energy = 3.39 states/eV per cell

So which one wins? Going from most stable to least: entry one, entry three, entry two.

Entry one
This record from the Alexandria database describes a relaxed MnVF3 crystal. The functional is GGA+U.

Lattice parameters (Å, degrees): 4.2258 4.2258 4.2258 90.00 90.00 90.00
Closest atoms and distances in Å follow each position.
Fractional positions:
1 Mn 0.0000 0.0000 0.0000  6 F 2.11
2 V 0.5000 0.5000 0.5000  12 F 2.99
3 F 0.0000 0.0000 0.5000  2 Mn 2.11
4 F 0.0000 0.5000 0.0000  2 Mn 2.11
5 F 0.5000 0.0000 0.0000  2 Mn 2.11

M_tot = 1.766 μB per atom
DOS at the Fermi energy = 3.04 states/eV per cell

Entry two
This record from the Alexandria database describes a relaxed MnVF3 crystal. The functional is GGA+U.

Lattice parameters (Å, degrees): 4.2149 4.2149 4.2149 90.00 90.00 90.00
Closest atoms and distances in Å follow each position.
Fractional positions:
1 Mn 0.0000 0.0000 0.0000  12 F 2.98
2 V 0.5000 0.5000 0.5000  6 F 2.11
3 F 0.0000 0.5000 0.5000  2 V 2.11
4 F 0.5000 0.0000 0.5000  2 V 2.11
5 F 0.5000 0.5000 0.0000  2 V 2.11

M_tot = 1.768 μB per atom
DOS at the Fermi energy = 1.66 states/eV per cell

So which one wins? Going from most stable to least: entry two, entry one.